[1]
Material: Fe2NiPdPt5
Method: DFT, PBE
State: relaxed

Geometry as POSCAR:
```
Fe2NiPdPt5
1.0
6.4487 0.0000 0.0000
0.0000 6.4487 0.0000
-3.2243 -3.2243 6.6173
Fe Ni Pd Pt
4 2 2 10
Cartesian
0.7656 2.4588 0.0000 Fe
3.9899 0.7656 0.0000 Fe
2.4588 5.6831 0.0000 Fe
5.6831 3.9899 0.0000 Fe
0.0000 3.2243 3.3087 Ni
3.2243 0.0000 3.3087 Ni
0.0000 0.0000 3.3087 Pd
3.2243 3.2243 3.3087 Pd
5.1534 1.9291 1.7515 Pt
1.9291 -1.2953 4.8658 Pt
-1.9291 1.2953 4.8658 Pt
-1.2953 -1.9291 4.8658 Pt
1.2953 1.9291 4.8658 Pt
4.5196 5.1534 1.7515 Pt
1.9291 1.2953 1.7515 Pt
1.2953 4.5196 1.7515 Pt
3.2243 3.2243 0.0000 Pt
0.0000 0.0000 0.0000 Pt
```

Values from the calculation:
**Magnetic moment**: 6.25 μB/f.u.
**Energy of formation from the pure elements**: 199 meV per atom
**SG**: I4/mcm

=====

[2]
Material: Fe2Ni2PdPt2
Method: DFT, PBE
State: relaxed

Geometry as POSCAR:
```
Fe2Ni2PdPt2
1.0
-3.3571 1.6942 -0.5443
-0.2704 -4.2656 1.6521
0.6079 2.8829 5.2237
Fe Ni Pd Pt
2 2 1 2
Cartesian
-0.2919 0.2624 2.6169 Fe
-2.7277 0.0491 3.7146 Fe
-2.4057 -0.1527 1.1006 Ni
-0.6139 0.4642 5.2309 Ni
0.0000 0.0000 0.0000 Pd
-1.5629 2.3444 3.6752 Pt
-1.4567 -2.0329 2.6563 Pt
```

Values from the calculation:
**Magnetic moment**: 8.25 μB/f.u.
**Energy of formation from the pure elements**: -133 meV per atom
**SG**: C2/m

=====

[3]
Material: RbFeNi2Pd
Method: DFT, PBE
State: relaxed

Geometry as POSCAR:
```
RbFeNi2Pd
1.0
-0.2086 4.4566 -1.1198
-4.6833 0.3031 2.0791
1.8712 1.1062 4.0538
Ni Rb Pd Fe
2 1 1 1
Cartesian
0.9356 0.5531 2.0269 Ni
-0.1043 2.2283 -0.5599 Ni
0.0000 0.0000 0.0000 Rb
-2.3417 0.1516 1.0396 Pd
-1.5104 2.9330 2.5066 Fe
```

Values from the calculation:
**Magnetic moment**: 3.91 μB/f.u.
**Energy of formation from the pure elements**: 2255 meV per atom
**SG**: P4/mmm

=====

[4]
Material: FeReNiPd2
Method: DFT, PBE
State: relaxed

Geometry as POSCAR:
```
FeReNiPd2
1.0
4.7985 0.0000 0.0000
0.0000 4.3741 0.0000
0.0000 0.0000 4.7985
Re Fe Pd Ni
1 1 2 1
Cartesian
0.0000 0.0000 0.0000 Re
0.0000 2.1870 0.0000 Fe
0.0000 0.0000 2.3992 Pd
2.3992 0.0000 0.0000 Pd
2.3992 2.1870 2.3992 Ni
```

Values from the calculation:
**Magnetic moment**: 2.05 μB/f.u.
**Energy of formation from the pure elements**: 1574 meV per atom
**SG**: P4/mmm

=====

[5]
Material: FeNiPdRu
Method: DFT, PBE
State: relaxed

Geometry as POSCAR:
```
FeNiPdRu
1.0
4.2166 0.0000 0.0000
2.1083 3.6516 0.0000
2.1083 1.2172 3.4428
Ru Fe Pd Ni
1 1 1 1
Cartesian
2.1083 1.2172 0.8607 Ru
4.2166 2.4344 1.7214 Fe
6.3248 3.6516 2.5821 Pd
0.0000 0.0000 0.0000 Ni
```

Values from the calculation:
**Magnetic moment**: 2.12 μB/f.u.
**Energy of formation from the pure elements**: 165 meV per atom
**SG**: F-43m

=====

[6]
Material: Fe4Ni4PdS8
Method: DFT, PBE
State: relaxed

Geometry as POSCAR:
```
Fe4Ni4PdS8
1.0
7.1167 0.0000 0.0000
3.5584 6.1633 0.0000
3.5584 2.0544 5.8108
Fe Ni Pd S
4 4 1 8
Cartesian
10.6751 6.1633 2.1897 Fe
10.6751 4.1189 5.0809 Fe
8.9046 7.1854 5.0809 Fe
12.4455 7.1854 5.0809 Fe
3.5584 2.0544 3.5919 Ni
3.5584 4.0712 0.7396 Ni
5.3050 1.0460 0.7396 Ni
1.8117 1.0460 0.7396 Ni
7.1167 4.1088 2.9054 Pd
8.8897 5.1325 1.4578 S
5.3437 5.1325 1.4578 S
7.1167 2.0616 1.4578 S
5.3437 3.0852 4.3530 S
8.8897 3.0852 4.3530 S
7.1167 6.1561 4.3530 S
10.6751 6.1633 4.3581 S
3.5584 2.0544 1.4527 S
```

Values from the calculation:
**Magnetic moment**: 0.00 μB/f.u.
**Formation energy without anion corrections**: -0.43 eV/atom
**SG**: F-43m

=====

[7]
Material: FeNi7Sb2Pd2
Method: DFT, PBE
State: relaxed

Geometry as POSCAR:
```
FeNi7Sb2Pd2
1.0
-2.9464 1.7902 -0.3668
-0.7773 -1.8576 -2.8223
-8.6113 -9.4404 6.4174
Fe Ni Sb Pd
1 7 2 2
Cartesian
0.0000 0.0000 0.0000 Fe
-1.8618 -0.0337 -1.5946 Ni
-4.9601 -4.3530 2.0851 Ni
-7.3748 -5.1548 1.1431 Ni
-4.1752 -0.3160 -0.7710 Ni
-3.0905 -2.1401 -1.9989 Ni
-9.2444 -7.3678 5.2270 Ni
-8.1597 -9.1919 3.9992 Ni
-6.1722 -3.4914 -0.2658 Sb
-6.1627 -6.0165 3.4939 Sb
-8.6841 -6.9689 2.6815 Pd
-3.6508 -2.5389 0.5467 Pd
```

Values from the calculation:
**Magnetic moment**: 5.80 μB/f.u.
**Formation energy without anion corrections**: -0.03 eV/atom
**SG**: C2/m

=====

[8]
Material: Fe2NiSbPd
Method: DFT, PBE
State: relaxed

Geometry as POSCAR:
```
Fe2NiSbPd
1.0
-3.4217 -2.3632 -1.9925
-0.4656 -2.5765 3.8555
-3.0565 3.0298 1.6555
Sb Fe Pd Ni
1 2 1 1
Cartesian
-3.4719 -0.9549 1.7593 Sb
-1.5283 1.5149 0.8278 Fe
-1.7108 -1.1816 -0.9962 Fe
0.0000 0.0000 0.0000 Pd
-0.2328 -1.2882 1.9278 Ni
```

Values from the calculation:
**Magnetic moment**: 7.32 μB/f.u.
**Formation energy without anion corrections**: 1.00 eV/atom
**SG**: P4/mmm

=====

[9]
Material: FeNi7Sn2Pd2
Method: DFT, PBE
State: relaxed

Geometry as POSCAR:
```
FeNi7Sn2Pd2
1.0
-0.9415 -3.1534 0.9860
1.2876 0.5940 3.1291
-12.4022 3.7946 6.2644
Fe Ni Sn Pd
1 7 2 2
Cartesian
0.0000 0.0000 0.0000 Fe
0.1731 -1.2797 2.0576 Ni
-5.5778 1.0412 3.9808 Ni
-6.4782 0.1940 6.3987 Ni
-1.8742 -2.2197 3.0767 Ni
-0.7595 -0.3458 4.1484 Ni
-11.2965 1.5810 6.2312 Ni
-10.1818 3.4549 7.3028 Ni
-4.2272 -0.7127 5.6429 Sn
-7.8288 1.9479 4.7367 Sn
-8.8797 1.1624 7.2032 Pd
-3.1764 0.0728 3.1764 Pd
```

Values from the calculation:
**Magnetic moment**: 5.85 μB/f.u.
**Energy of formation from the pure elements**: -42 meV per atom
**SG**: I4/mmm

=====

[10]
Material: TiFeNiPd
Method: DFT, PBE
State: relaxed

Geometry as POSCAR:
```
TiFeNiPd
1.0
4.2343 0.0000 0.0000
2.1171 3.6670 0.0000
2.1171 1.2223 3.4573
Ni Fe Pd Ti
1 1 1 1
Cartesian
6.3514 3.6670 2.5929 Ni
2.1171 1.2223 0.8643 Fe
4.2343 2.4447 1.7286 Pd
0.0000 0.0000 0.0000 Ti
```

Values from the calculation:
**Magnetic moment**: 1.93 μB/f.u.
**Energy of formation from the pure elements**: -213 meV per atom
**SG**: F-43m

=====

[11]
Material: FeNiPdW
Method: DFT, PBE
State: relaxed

Geometry as POSCAR:
```
FeNiPdW
1.0
4.2265 0.0000 0.0000
2.1132 3.6602 0.0000
2.1132 1.2201 3.4509
Ni Pd W Fe
1 1 1 1
Cartesian
0.0000 0.0000 0.0000 Ni
6.3397 3.6602 2.5882 Pd
2.1132 1.2201 0.8627 W
4.2265 2.4402 1.7255 Fe
```

Values from the calculation:
**Magnetic moment**: 1.93 μB/f.u.
**Energy of formation from the pure elements**: 128 meV per atom
**SG**: F-43m

=====

[12]
Material: Pm2Fe2Ni15
Method: DFT, PBE
State: relaxed

Geometry as POSCAR:
```
Pm2Fe2Ni15
1.0
6.3089 -0.0171 -0.0152
0.8015 6.2578 -0.0152
0.8015 0.7035 6.2181
Pm Fe Ni
2 2 15
Cartesian
2.7137 2.3818 2.1223 Pm
5.1982 4.5623 4.0653 Pm
0.7437 0.6527 0.5816 Fe
7.1682 6.2914 5.6060 Fe
3.1544 -0.0086 -0.0076 Ni
0.4008 0.3517 3.1091 Ni
0.4008 3.1289 -0.0076 Ni
0.8015 4.6271 1.8148 Ni
4.6920 1.8251 -0.0152 Ni
2.4184 0.4919 4.3881 Ni
2.4184 4.4155 -0.0152 Ni
4.6920 0.1945 1.8148 Ni
0.8015 2.3342 4.3881 Ni
2.0123 4.5777 4.0790 Ni
4.8001 4.2129 0.9237 Ni
4.8001 1.4014 4.0790 Ni
5.8996 2.3665 2.1087 Ni
3.1119 2.7312 5.2639 Ni
3.1119 5.5428 2.1087 Ni
```

Values from the calculation:
**Magnetic moment**: 11.65 μB/f.u.
**Energy of formation from the pure elements**: -186 meV per atom
**SG**: R-3m